# LaMnW2 GGA-PBE relaxed
# **Symmetry**: No. 12
# **Energy relative to the elements**: 0.79 eV/atom
# **Polymorph energy (0 for the lowest one)**: 392.1 meV/atom
# **Magnetization**: 1.97 μB per formula unit
# **Raw total energy**: -0.677 Ry/atom
# **Density of states at the Fermi level**: 4.77 states/eV/f.u.
data_LaMnW2
_chemical_formula_sum 'La1 Mn1 W2'
_symmetry_space_group_name_H-M 'P 1'
_symmetry_Int_Tables_number 1
_cell_length_a 5.242
_cell_length_b 5.678
_cell_length_c 2.835
_cell_angle_alpha 80.41
_cell_angle_beta 79.64
_cell_angle_gamma 114.63
loop_
_symmetry_equiv_pos_as_xyz
'x,y,z'
loop_
_atom_site_label
_atom_site_type_symbol
_atom_site_fract_x
_atom_site_fract_y
_atom_site_fract_z
La1 La 0.000 0.500 0.500
Mn1 Mn 0.500 0.500 0.000
W1 W 0.000 0.000 0.000
W2 W 0.500 0.000 0.500